DFT (PBE-GGA) results for an optimized crystal structure of NdSmDy5Y2.

Cell lengths 5.643, 19.854, 10.638 Å; angles 90.00, 90.00, 90.00 degrees
Space group Cmc2_1 (No. 36)
Inequivalent atoms, fractional coordinates:
Nd1 0.000 0.083 0.000 (multiplicity 4)
Sm1 0.000 0.298 0.558 (multiplicity 4)
Dy1 0.000 0.022 0.284 (multiplicity 4)
Dy2 0.000 0.108 0.571 (multiplicity 4)
Dy3 0.000 0.202 0.255 (multiplicity 4)
Dy4 0.000 0.217 0.857 (multiplicity 4)
Dy5 0.000 0.481 0.574 (multiplicity 4)
Y1 0.000 0.386 0.869 (multiplicity 4)
Y2 0.000 0.390 0.282 (multiplicity 4)

Output
The calculation puts the total moment at 0.00 μB per atom. As for the calculated volume: 33.10 A^3/atom. The mass density is 7.162 Mg/m³. The calculation puts the total energy at -4.89 eV/atom.